A plane-wave DFT calculation with GGA-PBE was carried out for a relaxed CuHg2W crystal.

Cell: 5.9583 8.5397 2.8052 Å, 90.00 90.00 90.00°
Space group Cmmm (No. 65)
Inequivalent atoms, fractional coordinates:
1 Cu 0.0000 0.0000 0.0000 [2 per cell]
2 Hg 0.2500 0.2500 0.5000 [4 per cell]
3 W 0.0000 0.5000 0.0000 [2 per cell]

Offset from the most stable computed form (meV per atom): 150.3

A plane-wave DFT calculation with GGA-PBE was carried out for a relaxed AlAg3O crystal.

Cell: 4.5009 4.5009 4.5009 Å, 90.00 90.00 90.00°
Space group Pm-3m (No. 221)
Inequivalent atoms, fractional coordinates:
1 Al 0.0000 0.0000 0.0000 [1 per cell]
2 Ag 0.0000 0.5000 0.5000 [3 per cell]
3 O 0.5000 0.5000 0.5000 [1 per cell]

Formation energy from raw total energies (eV per atom): 0.1928
Offset from the most stable computed form (meV per atom): 0.0

A plane-wave DFT calculation with GGA-PBE was carried out for a relaxed Hf2ZnNi crystal.

Cell: 7.2475 7.2475 5.6587 Å, 90.00 90.00 90.00°
Space group I-42d (No. 122)
Inequivalent atoms, fractional coordinates:
1 Hf 0.2083 0.2500 0.1250 [8 per cell]
2 Zn 0.0000 0.0000 0.5000 [4 per cell]
3 Ni 0.0000 0.0000 0.0000 [4 per cell]

A plane-wave DFT calculation with GGA-PBE was carried out for a relaxed Ti2Nb4Re crystal.

Cell: 4.7262 19.3185 2.6630 Å, 90.00 90.00 90.00°
Space group Cmmm (No. 65)
Inequivalent atoms, fractional coordinates:
1 Ti 0.0000 0.0662 0.0000 [4 per cell]
2 Nb 0.0000 0.2097 0.5000 [4 per cell]
3 Nb 0.0000 0.3610 0.0000 [4 per cell]
4 Re 0.0000 0.5000 0.5000 [2 per cell]

Offset from the most stable computed form (meV per atom): 192.5

A plane-wave DFT calculation with GGA-PBE was carried out for a relaxed ScInCl2 crystal.

Cell: 3.5633 3.5633 27.4268 Å, 90.00 90.00 120.00°
Space group R3m (No. 160, hexagonal axes)
Inequivalent atoms, fractional coordinates:
1 Sc 0.0000 0.0000 0.0000 [3 per cell]
2 In 0.0000 0.0000 0.2488 [3 per cell]
3 Cl 0.0000 0.0000 0.5143 [3 per cell]
4 Cl 0.0000 0.0000 0.7227 [3 per cell]

Formation energy from raw total energies (eV per atom): -1.0577
Offset from the most stable computed form (meV per atom): 212.6

A plane-wave DFT calculation with GGA-PBE was carried out for a relaxed CaNbBPb2 crystal.

Cell: 5.2121 5.2121 4.4530 Å, 90.00 90.00 90.00°
Space group P4/mmm (No. 123)
Inequivalent atoms, fractional coordinates:
1 Ca 0.0000 0.0000 0.0000 [1 per cell]
2 Nb 0.5000 0.5000 0.0000 [1 per cell]
3 B 0.5000 0.5000 0.5000 [1 per cell]
4 Pb 0.0000 0.5000 0.5000 [2 per cell]

A plane-wave DFT calculation with GGA-PBE was carried out for a relaxed Er4ThTl7 crystal.

Cell: 13.1507 5.8471 11.3447 Å, 90.00 123.57 90.00°
Space group C2/m (No. 12)
Inequivalent atoms, fractional coordinates:
1 Er 0.0871 0.0000 0.2836 [4 per cell]
2 Er 0.2208 0.0000 0.8258 [4 per cell]
3 Th 0.0000 0.5000 0.5000 [2 per cell]
4 Tl 0.0000 0.0000 0.5000 [2 per cell]
5 Tl 0.0812 0.5000 0.8332 [4 per cell]
6 Tl 0.1358 0.0000 0.0450 [4 per cell]
7 Tl 0.2091 0.5000 0.3961 [4 per cell]

A plane-wave DFT calculation with GGA-PBE was carried out for a relaxed Sm7CoI12 crystal.

Cell: 15.8887 15.8887 11.1495 Å, 90.00 90.00 120.00°
Space group R-3 (No. 148, hexagonal axes)
Inequivalent atoms, fractional coordinates:
1 Sm 0.0000 0.0000 0.0000 [3 per cell]
2 Sm 0.0416 0.1561 0.3642 [18 per cell]
3 Co 0.0000 0.0000 0.5000 [3 per cell]
4 I 0.0194 0.5868 0.1577 [18 per cell]
5 I 0.0484 0.1762 0.8359 [18 per cell]

Formation energy from raw total energies (eV per atom): -1.2203

A plane-wave DFT calculation with GGA-PBE was carried out for a relaxed CsBaHf2Hg crystal.

Cell: 5.5815 5.5815 6.9714 Å, 90.00 90.00 90.00°
Space group P4/mmm (No. 123)
Inequivalent atoms, fractional coordinates:
1 Cs 0.0000 0.0000 0.0000 [1 per cell]
2 Ba 0.0000 0.0000 0.5000 [1 per cell]
3 Hf 0.0000 0.5000 0.5000 [2 per cell]
4 Hg 0.5000 0.5000 0.0000 [1 per cell]

A plane-wave DFT calculation with GGA-PBE was carried out for a relaxed YBeAu2 crystal.

Cell: 3.2086 3.2086 6.9986 Å, 90.00 90.00 90.00°
Space group P4/mmm (No. 123)
Inequivalent atoms, fractional coordinates:
1 Y 0.0000 0.0000 0.0000 [1 per cell]
2 Be 0.0000 0.0000 0.5000 [1 per cell]
3 Au 0.5000 0.5000 0.2999 [2 per cell]

A plane-wave DFT calculation with GGA-PBE was carried out for a relaxed TbTaS2 crystal.

Cell: 3.4451 3.4451 25.7224 Å, 90.00 90.00 120.00°
Space group R-3m (No. 166, hexagonal axes)
Inequivalent atoms, fractional coordinates:
1 Tb 0.0000 0.0000 0.0000 [3 per cell]
2 Ta 0.0000 0.0000 0.5000 [3 per cell]
3 S 0.0000 0.0000 0.1069 [6 per cell]

Formation energy from raw total energies (eV per atom): -0.8167

A plane-wave DFT calculation with GGA-PBE was carried out for a relaxed CaCdSi2 crystal.

Cell: 3.7118 3.7118 6.3528 Å, 90.00 90.00 90.00°
Space group P4/mmm (No. 123)
Inequivalent atoms, fractional coordinates:
1 Ca 0.0000 0.0000 0.0000 [1 per cell]
2 Cd 0.0000 0.0000 0.5000 [1 per cell]
3 Si 0.5000 0.5000 0.3109 [2 per cell]

Formation energy from raw total energies (eV per atom): 0.0214

Values of electronic total energy, in order: -3.75, -3.26, -6.62, -9.69, -4.25, -4.73, -3.53, -4.16, -2.88, -4.56, -7.00, -3.42, all in eV per atom.